## Ir2RuI (PBE)

Data for crystalline Ir2RuI at its relaxed geometry.

Geometry as POSCAR:
```
Ir2RuI
1.0
0.000 3.230 3.230
3.230 0.000 3.230
3.230 3.230 0.000
Ir Ru I
2 1 1
Cartesian
1.615 1.615 1.615 Ir
4.845 4.845 4.845 Ir
0.000 0.000 0.000 Ru
3.230 3.230 3.230 I
```

Output
**Energy**: -5.9508 eV/atom
**Symmetry**: Fm-3m, No. 225
**Spin magnetization**: 0.351 μB per atom
**ρ**: 15.1 g/cm3

***

## IrRuI3 (PBE)

Data for crystalline IrRuI3 at its relaxed geometry.

Geometry as POSCAR:
```
IrRuI3
1.0
5.382 0.000 0.000
0.000 5.382 0.000
0.000 0.000 5.382
Ir Ru I
1 1 3
Cartesian
0.000 0.000 0.000 Ir
2.691 2.691 2.691 Ru
0.000 0.000 2.691 I
0.000 2.691 0.000 I
2.691 0.000 0.000 I
```

Output
**Energy**: -3.3315 eV/atom
**Symmetry**: Pm-3m, No. 221
**Spin magnetization**: 0.716 μB per atom
**ρ**: 7.2 g/cm3

***

## Sb2IrRuI (PBE)

Data for crystalline Sb2IrRuI at its relaxed geometry.

Geometry as POSCAR:
```
Sb2IrRuI
1.0
5.074 0.000 0.000
0.000 5.074 0.000
0.000 0.000 5.532
Sb Ir Ru I
2 1 1 1
Cartesian
0.000 2.537 0.000 Sb
2.537 0.000 0.000 Sb
0.000 0.000 0.000 Ir
2.537 2.537 2.766 Ru
0.000 0.000 2.766 I
```

Output
**Energy**: -4.4257 eV/atom
**Symmetry**: P4/mmm, No. 123
**Spin magnetization**: 0.408 μB per atom
**ρ**: 7.7 g/cm3

***

## SbIrRuI2 (PBE)

Data for crystalline SbIrRuI2 at its relaxed geometry.

Geometry as POSCAR:
```
SbIrRuI2
1.0
5.281 0.000 0.000
0.000 5.281 0.000
0.000 0.000 5.000
Sb Ir Ru I
1 1 1 2
Cartesian
0.000 0.000 0.000 Sb
2.640 2.640 0.000 Ir
0.000 0.000 2.500 Ru
0.000 2.640 2.500 I
2.640 0.000 2.500 I
```

Output
**Energy**: -3.7291 eV/atom
**Symmetry**: P4/mmm, No. 123
**Spin magnetization**: 0.292 μB per atom
**ρ**: 8.0 g/cm3